# Tb3HoEr

Tb3HoEr after structural relaxation (PBE, Alexandria via LeMat-Bulk).

Cell and atoms, written as POSCAR:
```
Tb3HoEr
1.0
3.5931 -0.0003 0.0000
-1.7892 8.2365 0.0000
0.0000 0.0000 11.5292
Ho Tb Er
2 6 2
direct
0.6587 0.8158 0.7500
0.3413 0.1842 0.2500
0.3190 0.1375 0.7500
0.8494 0.2001 0.4995
0.6810 0.8625 0.2500
0.1506 0.7999 0.5005
0.8494 0.2001 0.0005
0.1506 0.7999 0.9995
0.0083 0.5186 0.2500
0.9917 0.4814 0.7500
```

Calculated values
space-group type = P2_1/m
energy = -4.29 eV per atom
formation energy from the elements = 0.32 eV/atom
density = 7.87 Mg/m³